PmTl3S3 | PBE | relaxed

Values from the calculation:
Uncorrected formation energy, eV per atom: -0.9968

Cell: 8.8274 4.1550 12.1004 Å, 90.00 93.82 90.00°
Space group P2_1/m (No. 11)
Unique sites:
Pm (0.1151, 0.2500, 0.3821)
Tl (0.1400, 0.2500, 0.8757)
Tl (0.3323, 0.7500, 0.1465)
Tl (0.3835, 0.7500, 0.6338)
S (0.0966, 0.2500, 0.1493)
S (0.1046, 0.2500, 0.6160)
S (0.3331, 0.7500, 0.3904)

---

VRu2Rh5 | PBE | relaxed

Values from the calculation:
Energy relative to the lowest polymorph listed for this composition, meV/atom: 346
DOS(E_F), states/eV/cell: 52.22
Formation energy from the elements, eV per atom: 0.19

Cell: 6.4874 6.4874 11.1758 Å, 90.00 90.00 90.00°
Space group I4/mcm (No. 140)
Unique sites:
V (0.0000, 0.0000, 0.2500)
Ru (0.1347, 0.3653, 0.0000)
Rh (0.0000, 0.0000, 0.0000)
Rh (0.1496, 0.3504, 0.3316)

---

Np2BiN2 | PBE | relaxed

Values from the calculation:
DOS(E_F), states/eV/cell: 25.08
Uncorrected formation energy, eV per atom: -0.8860

Cell: 3.8713 3.9296 13.7520 Å, 90.00 90.00 90.00°
Space group Amm2 (No. 38)
Unique sites:
Np (0.0000, 0.0000, 0.0000)
Np (0.5000, 0.0000, 0.3414)
Bi (0.5000, 0.0000, 0.6497)
N (0.0000, 0.0000, 0.4174)
N (0.5000, 0.0000, 0.9169)

---

LiTlPO4 | PBE | relaxed

Values from the calculation:
DOS(E_F), states/eV/cell: 5.92
Uncorrected formation energy, eV per atom: -1.8159

Cell: 5.2507 5.2507 7.7708 Å, 90.00 90.00 90.00°
Space group I-4 (No. 82)
Unique sites:
Li (0.0000, 0.0000, 0.0000)
Tl (0.0000, 0.0000, 0.5000)
P (0.0000, 0.5000, 0.2500)
O (0.1346, 0.2931, 0.1379)

---

Sc3U | PBE | relaxed

Values from the calculation:
Energy relative to the lowest polymorph listed for this composition, meV/atom: 0
DOS(E_F), states/eV/cell: 16.69
Formation energy from the elements, eV per atom: 0.22

Cell: 3.0790 10.5193 5.8375 Å, 90.00 90.00 90.00°
Space group Imm2 (No. 44)
Unique sites:
Sc (0.0000, 0.0000, 0.0000)
Sc (0.0000, 0.2503, 0.7074)
U (0.0000, 0.5000, 0.0049)

---

TbPa2PtN5 | PBE | relaxed

Values from the calculation:
DOS(E_F), states/eV/cell: 2.49
Uncorrected formation energy, eV per atom: -1.0176

Cell: 3.5199 13.0724 10.8123 Å, 90.00 90.00 90.00°
Space group Cmc2_1 (No. 36)
Unique sites:
Tb (0.0000, 0.2015, 0.0000)
Pa (0.0000, 0.1010, 0.6875)
Pa (0.0000, 0.1444, 0.2880)
Pt (0.0000, 0.4782, 0.4607)
N (0.0000, 0.0560, 0.1080)
N (0.0000, 0.2747, 0.6823)
N (0.0000, 0.3303, 0.3578)
N (0.0000, 0.3761, 0.0402)
N (0.0000, 0.4717, 0.7841)

---

GdIr6 | PBE | relaxed

Values from the calculation:
DOS(E_F), states/eV/cell: 22.49
Formation energy from the elements, eV per atom: 0.38

Cell: 6.8191 6.8191 6.8191 Å, 90.00 90.00 90.00°
Space group Im-3m (No. 229)
Unique sites:
Gd (0.0000, 0.0000, 0.0000)
Ir (0.0000, 0.2500, 0.5000)

---

YTmZr2 | PBE | relaxed

Values from the calculation:
Energy relative to the lowest polymorph listed for this composition, meV/atom: 26
DOS(E_F), states/eV/cell: 16.26
Formation energy from the elements, eV per atom: 0.10

Cell: 3.3598 3.3598 32.4997 Å, 90.00 90.00 120.00°
Space group R3m (No. 160, hexagonal axes)
Unique sites:
Y (0.0000, 0.0000, 0.0000)
Tm (0.0000, 0.0000, 0.1668)
Zr (0.0000, 0.0000, 0.5826)
Zr (0.0000, 0.0000, 0.7506)